MgCo2F6, relaxed, DFT GGA+U; size of the total moment = 6.0 Bohr magnetons per cell; VASP energy = -5.091 eV per atom
1.0
2.642 1.525 4.739
-2.642 1.525 4.739
0.000 -3.051 4.739
Mg Co F
1 2 6
Direct
0.000 0.000 0.000
0.305 0.305 0.305
0.505 0.505 0.505
0.139 0.719 0.355
0.240 0.606 0.899
0.355 0.139 0.719
0.606 0.899 0.240
0.719 0.355 0.139
0.899 0.240 0.606